1.
Entry from Alexandria: Pr4Hg3Au2 after structural relaxation (GGA-PBE).

Results
DOS at the Fermi energy: 5.24 states/eV/f.u.
Energy relative to the elements: -538.9 meV/atom
Size of the total moment: 0.00 μB per cell

abc: 5.2237 5.2237 10.2704
angles: 90.06 90.06 60.02
Atoms (fractional coordinates):
Pr 0.9999 0.9999 0.1668
Pr 0.0001 0.0001 0.8332
Pr 0.3332 0.3332 0.3828
Pr 0.6668 0.6668 0.6172
Hg 0.0000 0.0000 0.5000
Hg 0.3333 0.3333 0.9988
Hg 0.6667 0.6667 0.0012
Au 0.3334 0.3334 0.6857
Au 0.6666 0.6666 0.3143

2.
Entry from Alexandria: Pr3HgAu5 after structural relaxation (GGA-PBE).

Results
DOS at the Fermi energy: 4.18 states/eV/f.u.
Energy relative to the elements: -695.8 meV/atom
Size of the total moment: 0.00 μB per cell
Energy relative to the lowest polymorph listed for this composition: 0.0000 eV/atom

abc: 8.9717 8.9717 6.2885
angles: 90.00 90.00 120.00
Atoms (fractional coordinates):
Pr 0.0000 0.3475 0.2500
Pr 0.0000 0.6525 0.7500
Pr 0.3475 0.0000 0.2500
Pr 0.3475 0.3475 0.7500
Pr 0.6525 0.0000 0.7500
Pr 0.6525 0.6525 0.2500
Hg 0.0000 0.0000 0.0000
Hg 0.0000 0.0000 0.5000
Au 0.0000 0.3211 0.7500
Au 0.0000 0.6789 0.2500
Au 0.3211 0.0000 0.7500
Au 0.3211 0.3211 0.2500
Au 0.3333 0.6667 0.0000
Au 0.3333 0.6667 0.5000
Au 0.6667 0.3333 0.0000
Au 0.6667 0.3333 0.5000
Au 0.6789 0.0000 0.2500
Au 0.6789 0.6789 0.7500

3.
Entry from Alexandria: Pr5Hg2Au after structural relaxation (GGA-PBE).

Results
DOS at the Fermi energy: 9.93 states/eV/f.u.
Energy relative to the elements: -403.2 meV/atom
Size of the total moment: 0.00 μB per cell

abc: 6.8639 13.1680 5.3383
angles: 90.00 90.00 90.00
Atoms (fractional coordinates):
Pr 0.0000 0.0000 0.0000
Pr 0.1466 0.2827 0.0000
Pr 0.1548 0.6055 0.5000
Pr 0.3452 0.1055 0.5000
Pr 0.3534 0.7827 0.0000
Pr 0.5000 0.5000 0.0000
Pr 0.6466 0.2173 0.0000
Pr 0.6548 0.8945 0.5000
Pr 0.8452 0.3945 0.5000
Pr 0.8534 0.7173 0.0000
Hg 0.1134 0.8542 0.5000
Hg 0.3866 0.3542 0.5000
Hg 0.6134 0.6458 0.5000
Hg 0.8866 0.1458 0.5000
Au 0.0000 0.5000 0.0000
Au 0.5000 0.0000 0.0000

4.
Entry from Alexandria: Pr8Hg2Au after structural relaxation (GGA-PBE).

Results
DOS at the Fermi energy: 14.25 states/eV/f.u.
Energy relative to the elements: -204.5 meV/atom
Size of the total moment: 0.00 μB per cell
Energy relative to the lowest polymorph listed for this composition: 0.0733 eV/atom

abc: 9.0361 9.0361 9.0361
angles: 146.30 121.39 69.34
Atoms (fractional coordinates):
Pr 0.1219 0.3426 0.7794
Pr 0.1281 0.1281 0.0000
Pr 0.3262 0.0000 0.3262
Pr 0.4368 0.6574 0.7794
Pr 0.5632 0.3426 0.2206
Pr 0.6738 0.0000 0.6738
Pr 0.8719 0.8719 0.0000
Pr 0.8781 0.6574 0.2206
Hg 0.2992 0.7992 0.5000
Hg 0.7008 0.2008 0.5000
Au 0.0000 0.5000 0.5000

5.
Entry from Alexandria: Pr2HgAu3 after structural relaxation (GGA-PBE).

Results
DOS at the Fermi energy: 4.95 states/eV/f.u.
Energy relative to the elements: -673.9 meV/atom
Size of the total moment: 0.00 μB per cell
Energy relative to the lowest polymorph listed for this composition: 0.0000 eV/atom

abc: 9.6941 9.1220 6.0443
angles: 76.49 66.20 37.32
Atoms (fractional coordinates):
Pr 0.2459 0.7541 0.7541
Pr 0.2500 0.2500 0.2500
Pr 0.7500 0.7500 0.7500
Pr 0.7541 0.2459 0.2459
Hg 0.3334 0.3334 0.6666
Hg 0.6666 0.6666 0.3334
Au 0.1657 0.1657 0.8343
Au 0.1663 0.6675 0.3325
Au 0.3325 0.8337 0.1663
Au 0.6675 0.1663 0.8337
Au 0.8337 0.3325 0.6675
Au 0.8343 0.8343 0.1657

6.
Entry from Alexandria: Pr2Hg8Au after structural relaxation (GGA-PBE).

Results
DOS at the Fermi energy: 9.68 states/eV/f.u.
Energy relative to the elements: -292.7 meV/atom
Size of the total moment: 0.00 μB per cell

abc: 4.8202 4.8202 12.3884
angles: 90.00 90.00 90.00
Atoms (fractional coordinates):
Pr 0.0000 0.0000 0.1954
Pr 0.0000 0.0000 0.8046
Hg 0.0000 0.5000 0.0000
Hg 0.0000 0.5000 0.3668
Hg 0.0000 0.5000 0.6332
Hg 0.5000 0.0000 0.0000
Hg 0.5000 0.0000 0.3668
Hg 0.5000 0.0000 0.6332
Hg 0.5000 0.5000 0.1761
Hg 0.5000 0.5000 0.8239
Au 0.0000 0.0000 0.5000

7.
Entry from Alexandria: Pr6HgAu3 after structural relaxation (GGA-PBE).

Results
DOS at the Fermi energy: 10.64 states/eV/f.u.
Energy relative to the elements: -440.5 meV/atom
Size of the total moment: 0.00 μB per cell

abc: 9.5341 9.5341 7.1970
angles: 90.00 90.00 109.30
Atoms (fractional coordinates):
Pr 0.0306 0.9694 0.5000
Pr 0.1009 0.5124 0.9700
Pr 0.2660 0.3352 0.3462
Pr 0.2740 0.7260 0.4207
Pr 0.3352 0.2660 0.8462
Pr 0.4876 0.8991 0.9700
Pr 0.5124 0.1009 0.4700
Pr 0.6648 0.7340 0.3462
Pr 0.7260 0.2740 0.9207
Pr 0.7340 0.6648 0.8462
Pr 0.8991 0.4876 0.4700
Pr 0.9694 0.0306 0.0000
Hg 0.1660 0.8340 0.8051
Hg 0.8340 0.1660 0.3051
Au 0.0271 0.2678 0.6759
Au 0.2678 0.0271 0.1759
Au 0.4309 0.5691 0.0625
Au 0.5691 0.4309 0.5625
Au 0.7322 0.9729 0.6759
Au 0.9729 0.7322 0.1759

8.
Entry from Alexandria: Pr4Hg5Au after structural relaxation (GGA-PBE).

Results
DOS at the Fermi energy: 7.58 states/eV/f.u.
Energy relative to the elements: -486.2 meV/atom
Size of the total moment: 0.00 μB per cell

abc: 8.4225 8.4225 6.7460
angles: 105.44 105.44 36.73
Atoms (fractional coordinates):
Pr 0.0899 0.0899 0.3627
Pr 0.3180 0.3180 0.1950
Pr 0.6820 0.6820 0.8050
Pr 0.9101 0.9101 0.6373
Hg 0.1074 0.1074 0.9109
Hg 0.2879 0.2879 0.6807
Hg 0.5000 0.5000 0.0000
Hg 0.7121 0.7121 0.3193
Hg 0.8926 0.8926 0.0891
Au 0.5000 0.5000 0.5000

What is the formula in the fourth record?
Pr8Hg2Au

Which value of DOS at the Fermi energy does entry 4 give?
14.25 states/eV/f.u.